1.
A plane-wave DFT calculation with PBE-GGA was carried out for a relaxed CsZnHg2Pb crystal.

Unit cell a=6.2084 b=6.2084 c=5.3824 alpha=90.00 beta=90.00 gamma=90.00
Last column: nearest neighbours and their distance in Å.
Fractional positions:
Pb: 0.0000 0.0000 0.0000  2 Zn 2.69
Cs: 0.5000 0.5000 0.5000  8 Hg 4.11, 4 Zn 4.39
Zn: 0.0000 0.0000 0.5000  2 Pb 2.69
Hg: 0.0000 0.5000 0.0000  2 Pb 3.10
Hg: 0.5000 0.0000 0.0000  2 Pb 3.10

Properties
* ΔE to the lowest computed polymorph: 0.021 eV per atom

2.
A plane-wave DFT calculation with PBE-GGA was carried out for a relaxed CsZnHg2Pb crystal.

Unit cell a=5.6573 b=5.6573 c=5.4306 alpha=90.00 beta=90.00 gamma=90.00
Last column: nearest neighbours and their distance in Å.
Fractional positions:
Pb: 0.0000 0.0000 0.5000  2 Zn 2.72
Cs: 0.5000 0.5000 0.5000  8 Hg 3.92, 4 Pb 4.00
Zn: 0.0000 0.0000 0.0000  2 Pb 2.72, 4 Hg 2.83
Hg: 0.0000 0.5000 0.0000  2 Zn 2.83
Hg: 0.5000 0.0000 0.0000  2 Zn 2.83

Properties
* ΔE to the lowest computed polymorph: 0.000 eV per atom

3.
A plane-wave DFT calculation with PBE-GGA was carried out for a relaxed Cs2Hg2Pd crystal.

Unit cell a=7.2205 b=7.2205 c=6.5703 alpha=56.67 beta=56.67 gamma=90.00
Last column: nearest neighbours and their distance in Å.
Fractional positions:
Cs: 0.7500 0.2500 0.5000  4 Hg 3.66
Cs: 0.2500 0.7500 0.5000  4 Hg 3.66
Hg: 0.3244 0.3244 0.3513  1 Pd 2.68, 1 Hg 2.91
Hg: 0.6756 0.6756 0.6487  1 Pd 2.68, 1 Hg 2.91
Pd: 0.0000 0.0000 0.0000  2 Hg 2.68

Properties
* ΔE to the lowest computed polymorph: 0.100 eV per atom

4.
A plane-wave DFT calculation with PBE-GGA was carried out for a relaxed CsHgPd3 crystal.

Unit cell a=5.2361 b=5.2361 c=5.2361 alpha=90.00 beta=90.00 gamma=90.00
Last column: nearest neighbours and their distance in Å.
Fractional positions:
Cs: 0.5000 0.5000 0.5000  12 Pd 3.70
Hg: 0.0000 0.0000 0.0000  6 Pd 2.62
Pd: 0.0000 0.5000 0.0000  2 Hg 2.62
Pd: 0.0000 0.0000 0.5000  2 Hg 2.62
Pd: 0.5000 0.0000 0.0000  2 Hg 2.62

Properties
* ΔE to the lowest computed polymorph: 0.000 eV per atom

5.
A plane-wave DFT calculation with PBE-GGA was carried out for a relaxed CsHg2Pd2 crystal.

Unit cell a=4.6825 b=4.6825 c=6.9472 alpha=70.31 beta=70.31 gamma=90.00
Last column: nearest neighbours and their distance in Å.
Fractional positions:
Cs: 0.0000 0.0000 0.0000  8 Hg 3.65, 8 Pd 3.85
Hg: 0.3751 0.3751 0.2498  4 Pd 2.80, 1 Hg 3.05
Hg: 0.6249 0.6249 0.7502  4 Pd 2.80, 1 Hg 3.05
Pd: 0.7500 0.2500 0.5000  4 Hg 2.80
Pd: 0.2500 0.7500 0.5000  4 Hg 2.80

Properties
* ΔE to the lowest computed polymorph: 0.053 eV per atom

6.
A plane-wave DFT calculation with PBE-GGA was carried out for a relaxed CsHgPd crystal.

Unit cell a=5.4383 b=4.7502 c=4.7502 alpha=120.00 beta=90.00 gamma=90.00
Last column: nearest neighbours and their distance in Å.
Fractional positions:
Cs: 0.6667 0.6667 0.3333  6 Pd 3.86, 6 Hg 3.86
Hg: 0.1668 0.3333 0.6667  3 Pd 2.74
Pd: 0.1666 0.0000 0.0000  3 Hg 2.74

Properties
* ΔE to the lowest computed polymorph: 0.004 eV per atom

Formation enthalpy at 0 K list, top to bottom, in eV/f.u.: 0.16 0.06 -0.39 2.14 -0.32 -0.38
Total magnetic moment list, top to bottom, in μB/cell: 0.0 0.0 0.0 0.0 0.0 0.0